# 1
## LiTc3 (PBE-GGA)

Data for an optimized crystal structure of LiTc3.

Computed properties:
- Space group: R-3m (166)
- Formation energy: 0.1673 eV/atom
- ρ: 8.478 Mg/m³
- E: -8.09 eV per atom
- ΔE to the lowest computed polymorph: 0.019 eV per atom

Lattice parameters (Å, degrees): 9.285 9.285 9.285 16.89 16.89 16.89
Atoms (fractional coordinates):
Tc1 0.754 0.754 0.754
Tc2 0.246 0.246 0.246
Tc3 0.500 0.500 0.500
Li1 0.000 0.000 0.000

---

# 2
## KCuNi2 (PBE-GGA)

Data for an optimized crystal structure of KCuNi2.

Computed properties:
- Space group: Imm2 (44)
- Formation energy: 0.6729 eV/atom
- ρ: 5.395 Mg/m³
- E: -3.52 eV per atom
- ΔE to the lowest computed polymorph: 0.376 eV per atom

Lattice parameters (Å, degrees): 5.803 5.803 5.803 154.02 127.23 59.74
Atoms (fractional coordinates):
Ni1 0.048 0.048 0.000
Ni2 0.245 0.745 0.500
K1 0.752 0.252 0.500
Cu1 0.455 0.455 0.000